[1]
Entry from Alexandria via LeMat-Bulk: a relaxed structure of Li2PmCd2 (PBE-GGA).

ρ = 5.96 g/cm³
Crystal system = triclinic
E_form = -1.17 eV/f.u.
M_tot = 0.00 μB/f.u.
Fermi-level density of states = 0.506 states/eV/atom

Unit cell a=5.015 b=5.008 c=5.721 alpha=63.62 beta=89.81 gamma=59.94
Sites, in units of the cell vectors:
Li 0.082 0.337 0.748
Li 0.918 0.663 0.252
Cd 0.281 0.937 0.343
Cd 0.719 0.063 0.657
Pm 0.500 0.500 0.000

[2]
Entry from Alexandria via LeMat-Bulk: a relaxed structure of LaHoAu2 (PBE-GGA).

ρ = 11.66 g/cm³
Crystal system = tetragonal
E_form = -3.33 eV/f.u.
M_tot = 0.00 μB/f.u.
Fermi-level density of states = 0.467 states/eV/atom

Unit cell a=3.629 b=3.629 c=7.546 alpha=90.00 beta=90.00 gamma=90.00
Sites, in units of the cell vectors:
La 0.500 0.500 0.500
Au 0.000 0.000 0.221
Au 0.000 0.000 0.779
Ho 0.500 0.500 0.000

[3]
Entry from Alexandria via LeMat-Bulk: a relaxed structure of Ho8Cu2Pd (PBE-GGA).

ρ = 9.19 g/cm³
Crystal system = monoclinic
E_form = -2.56 eV/f.u.
M_tot = 0.00 μB/f.u.
Fermi-level density of states = 0.964 states/eV/atom

Unit cell a=5.052 b=6.684 c=9.023 alpha=105.65 beta=106.26 gamma=90.00
Sites, in units of the cell vectors:
Cu 0.183 0.726 0.367
Cu 0.817 0.274 0.633
Ho 0.968 0.216 0.936
Ho 0.408 0.546 0.816
Ho 0.032 0.784 0.064
Ho 0.331 0.018 0.661
Ho 0.200 0.330 0.401
Ho 0.592 0.454 0.184
Ho 0.669 0.982 0.339
Ho 0.800 0.670 0.599
Pd 0.500 0.000 0.000

[4]
Entry from Alexandria via LeMat-Bulk: a relaxed structure of Y2Co2Ni (PBE-GGA).

ρ = 6.66 g/cm³
Crystal system = tetragonal
E_form = -0.66 eV/f.u.
M_tot = 0.93 μB/f.u.
Fermi-level density of states = 0.954 states/eV/atom

Unit cell a=6.600 b=6.600 c=4.058 alpha=90.00 beta=90.00 gamma=90.00
Each line ends with the local moment (μB).
Sites, in units of the cell vectors:
Y 0.817 0.317 0.500  -0.10
Y 0.317 0.183 0.500  -0.10
Y 0.683 0.817 0.500  -0.10
Y 0.183 0.683 0.500  -0.10
Co 0.121 0.379 0.000  0.54
Co 0.379 0.879 0.000  0.61
Co 0.879 0.621 0.000  0.54
Co 0.621 0.121 0.000  0.61
Ni 0.000 0.000 0.000  0.16
Ni 0.500 0.500 0.000  0.16

[5]
Entry from Alexandria via LeMat-Bulk: a relaxed structure of Hf4CdNi2 (PBE-GGA).

ρ = 10.95 g/cm³
Crystal system = trigonal
E_form = 0.46 eV/f.u.
M_tot = 0.00 μB/f.u.
Fermi-level density of states = 1.193 states/eV/atom

Unit cell a=4.377 b=4.377 c=8.985 alpha=75.90 beta=75.90 gamma=60.00
Sites, in units of the cell vectors:
Ni 0.397 0.397 0.809
Ni 0.603 0.603 0.191
Hf 0.110 0.110 0.671
Hf 0.702 0.702 0.895
Hf 0.890 0.890 0.329
Hf 0.298 0.298 0.105
Cd 0.500 0.500 0.500

[6]
Entry from Alexandria via LeMat-Bulk: a relaxed structure of Ac2Cu4Sn3Hg (PBE-GGA).

ρ = 9.21 g/cm³
Crystal system = tetragonal
E_form = -3.97 eV/f.u.
M_tot = 0.00 μB/f.u.
Fermi-level density of states = 0.586 states/eV/atom

Unit cell a=4.626 b=4.626 c=10.658 alpha=90.00 beta=90.00 gamma=90.00
Sites, in units of the cell vectors:
Cu 0.000 0.000 0.000
Cu 0.000 0.500 0.368
Cu 0.500 0.000 0.632
Cu 0.500 0.500 0.000
Ac 0.000 0.500 0.761
Ac 0.500 0.000 0.239
Sn 0.500 0.000 0.875
Sn 0.000 0.500 0.125
Sn 0.000 0.000 0.500
Hg 0.500 0.500 0.500